No. 1
Entry from Alexandria: a geometry-optimized Dy2HoTl2Hg2 structure (GGA-PBE).

The space group is R-3m (No. 166, hexagonal axes) and the conventional cell measures 4.9874, 4.9874 and 26.4613 Å, with angles of 90.00, 90.00 and 120.00 degrees. The inequivalent atoms are Dy at (0.0000, 0.0000, 0.1323), Ho at (0.0000, 0.0000, 0.0000), Tl at (0.0000, 0.0000, 0.2743) and Hg at (0.0000, 0.0000, 0.4349).

The calculated volume is 27.14 Å³/atom. The value obtained for the energy of formation is -1.17 eV/f.u. For the density of states at the Fermi level, the calculation gives 11.63 states/eV per cell. The calculation puts the size of the total moment at 0.00 μB/f.u.

No. 2
Entry from Alexandria: a geometry-optimized DyHoTmHg structure (GGA-PBE).

The space group is F-43m (No. 216) and the conventional cell measures 7.593, 7.593 and 7.593 Å, with angles of 90.00, 90.00 and 90.00 degrees. The inequivalent atoms are Dy at (0.000, 0.000, 0.000), Ho at (0.000, 0.000, 0.500), Tm at (0.250, 0.250, 0.250) and Hg at (0.250, 0.250, 0.750).

The calculated volume is 27.36 Å³/atom. The value obtained for the energy of formation is -0.21 eV/f.u. For the density of states at the Fermi level, the calculation gives 20.95 states/eV per cell. The calculation puts the size of the total moment at 0.24 μB/f.u.

No. 3
Entry from Alexandria: a geometry-optimized DyHoZnHg structure (GGA-PBE).

The space group is F-43m (No. 216) and the conventional cell measures 7.295, 7.295 and 7.295 Å, with angles of 90.00, 90.00 and 90.00 degrees. The inequivalent atoms are Dy at (0.000, 0.000, 0.000), Ho at (0.000, 0.000, 0.500), Zn at (0.250, 0.250, 0.250) and Hg at (0.250, 0.250, 0.750).

For the distance to the lowest polymorph of the same formula, the calculation gives 0.0182 eV/atom. The calculated volume is 24.26 Å³/atom. The value obtained for the energy of formation is -1.59 eV/f.u. For the density of states at the Fermi level, the calculation gives 16.20 states/eV per cell. The calculation puts the size of the total moment at 0.00 μB/f.u.